(w)
Computed, not measured: a geometry-optimized Sm3ZnCd2 structure at the PBE-GGA level of DFT.

## Properties
crystal system: trigonal
theoretical density: 7.7 g/cm³

Unit cell a=5.318 b=5.318 c=13.024 alpha=90.00 beta=90.00 gamma=120.00
Atoms (fractional coordinates):
Sm1 0.000 0.000 0.244
Sm2 0.000 0.000 0.756
Sm3 0.333 0.667 0.410
Sm4 0.333 0.667 0.916
Sm5 0.667 0.333 0.084
Sm6 0.667 0.333 0.590
Zn1 0.333 0.667 0.164
Zn2 0.667 0.333 0.836
Cd1 0.000 0.000 0.000
Cd2 0.000 0.000 0.500
Cd3 0.333 0.667 0.665
Cd4 0.667 0.333 0.335

(x)
Computed, not measured: a geometry-optimized Sm3ZnCd2 structure at the PBE-GGA level of DFT.

## Properties
crystal system: tetragonal
theoretical density: 7.8 g/cm³

Unit cell a=3.710 b=3.710 c=11.540 alpha=90.00 beta=90.00 gamma=90.00
Atoms (fractional coordinates):
Sm1 0.000 0.000 0.000
Sm2 0.000 0.000 0.349
Sm3 0.000 0.000 0.651
Zn1 0.500 0.500 0.500
Cd1 0.500 0.500 0.174
Cd2 0.500 0.500 0.826

(x) takes first place; second place is 15 meV/atom up.